MgTa4Pt5: optimized geometry, PBE-GGA. Values from VASP.

Summary:
E_form	-701	meV per atom
E	-8.62	eV/atom

Structure (Quantum ESPRESSO input):
```
&SYSTEM
  ibrav = 0, nat = 10, ntyp = 3
/
ATOMIC_SPECIES
Ta 180.95 Ta.upf
Pt 195.08 Pt.upf
Mg 24.30 Mg.upf
CELL_PARAMETERS angstrom
-1.6217 2.3024 0.4484
-2.2482 -1.3701 -1.0957
-4.7133 -6.8782 18.2716
ATOMIC_POSITIONS angstrom
Ta -2.8360 -4.1387 10.9941
Ta -3.7963 -5.5400 14.7166
Ta -1.8773 -2.7396 7.2775
Ta -0.9170 -1.3382 3.5550
Pt -3.3326 -1.5735 5.0946
Pt -6.1907 -5.7444 16.1743
Pt -2.3925 -0.2015 1.4501
Pt -4.2916 -2.9729 8.8122
Pt -5.2506 -4.3724 12.5297
Mg 0.0000 0.0000 0.0000
```